(1)
CuIrSe2 | meta-GGA SCAN | PBEsol geometry

Unit cell a=3.0315 b=4.4967 c=4.4965 alpha=90.00 beta=90.00 gamma=90.00
Last column: nearest neighbours and their distance in Å.
Atoms (fractional coordinates):
Cu1 0.5000 0.5000 0.0000  8 Se 2.71, 2 Cu 3.03
Ir1 0.5000 0.0000 0.5000  8 Se 2.71, 2 Ir 3.03
Se1 0.0000 0.0000 0.0000  4 Ir 2.71, 4 Cu 2.71, 2 Se 3.03
Se2 0.0000 0.5000 0.5000  4 Cu 2.71, 4 Ir 2.71, 2 Se 3.03

Properties
Space-group type: P4/mmm
Spin magnetization in μB/f.u.: 0.0
Formation energy (no corrections) in eV/atom: 0.474



(2)
MnIn2NiCl | meta-GGA SCAN | PBEsol geometry

Unit cell a=4.3029 b=5.0630 c=5.0630 alpha=90.00 beta=90.00 gamma=90.00
Last column: nearest neighbours and their distance in Å.
Atoms (fractional coordinates):
Ni1 0.0000 0.0000 0.0000  2 Cl 2.15
Mn1 0.5000 0.5000 0.5000  8 In 3.32, 4 Cl 3.58
Cl1 0.5000 0.0000 0.0000  2 Ni 2.15
In1 0.0000 0.0000 0.5000  2 Ni 2.53
In2 0.0000 0.5000 0.0000  2 Ni 2.53

Properties
Space-group type: P4/mmm
Spin magnetization in μB/f.u.: 4.6
Formation energy (no corrections) in eV/atom: 0.233



(3)
CsHfHg2 | meta-GGA SCAN | PBEsol geometry

Unit cell a=5.4139 b=5.4139 c=5.4139 alpha=60.00 beta=60.00 gamma=60.00
Last column: nearest neighbours and their distance in Å.
Atoms (fractional coordinates):
Cs1 0.0000 0.0000 0.0000  8 Hg 3.32
Hf1 0.5000 0.5000 0.5000  8 Hg 3.32
Hg1 0.2500 0.2500 0.2500  4 Hf 3.32, 4 Cs 3.32
Hg2 0.7500 0.7500 0.7500  4 Hf 3.32, 4 Cs 3.32

Properties
Space-group type: Fm-3m
Spin magnetization in μB/f.u.: 0.0
ΔH_f (0 K) in eV per formula unit: 2.42



(4)
RbCrSnN2 | meta-GGA SCAN | PBEsol geometry

Unit cell a=4.0676 b=4.0676 c=5.3369 alpha=90.00 beta=90.00 gamma=90.00
Last column: nearest neighbours and their distance in Å.
Atoms (fractional coordinates):
Cr1 0.0000 0.0000 0.0000  4 N 2.03
Sn1 0.5000 0.5000 0.5000  4 Rb 2.88
Rb1 0.0000 0.0000 0.5000  2 Cr 2.67, 4 Sn 2.88
N1 0.0000 0.5000 0.0000  2 Cr 2.03
N2 0.5000 0.0000 0.0000  2 Cr 2.03

Properties
Space-group type: P4/mmm
Spin magnetization in μB/f.u.: 1.8
Formation energy (no corrections) in eV/atom: 1.268



(5)
BiPN3 | meta-GGA SCAN | PBEsol geometry

Unit cell a=3.6631 b=3.6631 c=3.6631 alpha=90.00 beta=90.00 gamma=90.00
Last column: nearest neighbours and their distance in Å.
Atoms (fractional coordinates):
P1 0.0000 0.0000 0.0000  6 N 1.83
Bi1 0.5000 0.5000 0.5000  12 N 2.59
N1 0.0000 0.5000 0.0000  2 P 1.83
N2 0.0000 0.0000 0.5000  2 P 1.83
N3 0.5000 0.0000 0.0000  2 P 1.83

Properties
Space-group type: Pm-3m
Spin magnetization in μB/f.u.: 0.0
Formation energy (no corrections) in eV/atom: 0.806



(6)
SiSbAu2F | meta-GGA SCAN | PBEsol geometry

Unit cell a=4.6120 b=4.6120 c=5.2338 alpha=90.00 beta=90.00 gamma=90.00
Last column: nearest neighbours and their distance in Å.
Atoms (fractional coordinates):
Sb1 0.0000 0.0000 0.5000  2 Si 2.62
Si1 0.0000 0.0000 0.0000  4 Au 2.31
Au1 0.0000 0.5000 0.0000  2 Si 2.31
Au2 0.5000 0.0000 0.0000  2 Si 2.31
F1 0.5000 0.5000 0.5000  4 Sb 3.26, 8 Au 3.49

Properties
Space-group type: P4/mmm
Spin magnetization in μB/f.u.: 0.0
Formation energy (no corrections) in eV/atom: 0.053



(7)
KCuH2 | meta-GGA SCAN | PBEsol geometry

Unit cell a=5.2606 b=5.2606 c=5.2606 alpha=90.92 beta=119.47 gamma=119.47
Last column: nearest neighbours and their distance in Å.
Atoms (fractional coordinates):
H1 0.1827 0.8077 0.1250  2 Cu 1.65
H2 0.8173 0.9423 0.6250  2 Cu 1.65
H3 0.3173 0.3750 0.1923  2 Cu 1.65
H4 0.6827 0.8750 0.0577  2 Cu 1.65
K1 0.0000 0.5000 0.5000  8 H 2.81-3.09
K2 0.5000 0.2500 0.7500  8 H 2.81-3.09
Cu1 0.0000 0.0000 0.0000  4 H 1.65
Cu2 0.5000 0.7500 0.2500  4 H 1.65

Properties
Space-group type: I-42d
Spin magnetization in μB/f.u.: 0.0
Calculated total energy in eV/atom: -7.7666



(8)
Li7Ti7Nb5O30 | meta-GGA SCAN | PBEsol geometry

Unit cell a=5.1159 b=5.1159 c=23.4945 alpha=90.00 beta=90.00 gamma=120.00
Last column: nearest neighbours and their distance in Å.
Atoms (fractional coordinates):
Li1 0.0000 0.0000 0.7261  3 O 1.99
Li2 0.3333 0.6667 0.9200  6 O 2.12-2.19
Li3 0.3333 0.6667 0.6271  3 O 1.94
Li4 0.3333 0.6667 0.3690  3 O 2.06
Li5 0.3333 0.6667 0.0772  3 O 2.02
Li6 0.0000 0.0000 0.4635  3 O 1.94
Li7 0.6667 0.3333 0.7980  6 O 1.97-2.01
Ti1 0.0000 0.0000 0.1150  3 O 1.84
Ti2 0.0000 0.0000 0.9899  3 O 1.86
Ti3 0.0000 0.0000 0.3079  3 O 1.88
Ti4 0.6667 0.3333 0.4086  3 O 1.85
Ti5 0.6667 0.3333 0.2853  6 O 1.88-2.07
Ti6 0.6667 0.3333 0.0206  3 O 1.86
Ti7 0.6667 0.3333 0.8970  3 O 1.85
Nb1 0.0000 0.0000 0.5942  6 O 1.94-2.04
Nb2 0.3333 0.6667 0.7973  6 O 2.00-2.01
Nb3 0.3333 0.6667 0.4970  6 O 1.95-2.02
Nb4 0.3333 0.6667 0.2008  6 O 1.91-2.11
Nb5 0.6667 0.3333 0.6909  6 O 1.94-2.07
O1 0.4183 0.4197 0.8531  1 Ti 1.85, 1 Li 2.01, 1 Nb 2.01
O2 0.3237 0.2960 0.6483  1 Li 1.94, 2 Nb 1.94-2.04
O3 0.3277 0.3334 0.2547  1 Ti 1.88
O4 0.0590 0.3345 0.5465  2 Nb 1.94-1.95
O5 0.3563 0.0542 0.9580  1 Ti 1.86
O6 0.9458 0.3022 0.9580  1 Ti 1.86
O7 0.2755 0.9410 0.5465  2 Nb 1.94-1.95
O8 0.0057 0.6723 0.2547  1 Ti 1.88
O9 0.7040 0.0277 0.6483  1 Li 1.94, 2 Nb 1.94-2.04
O10 0.0014 0.5817 0.8531  1 Ti 1.85, 1 Li 2.01, 1 Nb 2.01
O11 0.6666 0.9943 0.2547  1 Ti 1.88
O12 0.9723 0.6763 0.6483  1 Li 1.94, 2 Nb 1.94-2.04
O13 0.0053 0.6332 0.4446  1 Ti 1.85, 1 Li 1.94, 1 Nb 2.02
O14 0.5803 0.9986 0.8531  1 Ti 1.85, 1 Li 2.01, 1 Nb 2.01
O15 0.9672 0.6904 0.0531  1 Ti 1.86, 1 Li 2.02
O16 0.6978 0.6437 0.9580  1 Ti 1.86
O17 0.0587 0.3395 0.1533  1 Ti 1.84, 1 Nb 1.91
O18 0.6655 0.7245 0.5465  2 Nb 1.94-1.95
O19 0.7132 0.6494 0.3456  2 Ti 1.88-2.07, 1 Li 2.06
O20 0.9937 0.3734 0.7478  2 Li 1.97-1.99, 2 Nb 2.00-2.07
O21 0.6605 0.7192 0.1533  1 Ti 1.84, 1 Nb 1.91
O22 0.9362 0.2868 0.3456  2 Ti 1.88-2.07, 1 Li 2.06
O23 0.6266 0.6202 0.7478  2 Li 1.97-1.99, 2 Nb 2.00-2.07
O24 0.3668 0.3721 0.4446  1 Ti 1.85, 1 Li 1.94, 1 Nb 2.02
O25 0.7232 0.0328 0.0531  1 Ti 1.86, 1 Li 2.02
O26 0.3096 0.2768 0.0531  1 Ti 1.86, 1 Li 2.02
O27 0.6279 0.9947 0.4446  1 Ti 1.85, 1 Li 1.94, 1 Nb 2.02
O28 0.3798 0.0063 0.7478  2 Li 1.97-1.99, 2 Nb 2.00-2.07
O29 0.3506 0.0638 0.3456  2 Ti 1.88-2.07, 1 Li 2.06
O30 0.2808 0.9413 0.1533  1 Ti 1.84, 1 Nb 1.91

Properties
Space-group type: P3
Spin magnetization in μB/f.u.: 0.0
Formation energy (no corrections) in eV/atom: -2.898



(9)
PbWS2Cl | meta-GGA SCAN | PBEsol geometry

Unit cell a=5.0251 b=5.1077 c=5.1077 alpha=90.00 beta=90.00 gamma=90.00
Last column: nearest neighbours and their distance in Å.
Atoms (fractional coordinates):
Pb1 0.0000 0.0000 0.0000  2 Cl 2.51, 4 S 2.55
S1 0.0000 0.0000 0.5000  2 Pb 2.55
S2 0.0000 0.5000 0.0000  2 Pb 2.55
W1 0.5000 0.5000 0.5000  8 S 3.58, 4 Cl 3.61
Cl1 0.5000 0.0000 0.0000  2 Pb 2.51

Properties
Space-group type: P4/mmm
Spin magnetization in μB/f.u.: 4.1
Formation energy (no corrections) in eV/atom: 1.341



(10)
Zr2CdHg | meta-GGA SCAN | PBEsol geometry

Unit cell a=4.3696 b=4.3696 c=5.2805 alpha=114.44 beta=114.44 gamma=90.00
Last column: nearest neighbours and their distance in Å.
Atoms (fractional coordinates):
Hg1 0.0000 0.0000 0.0000  8 Zr 3.06, 4 Cd 3.09
Zr1 0.7500 0.2500 0.5000  4 Hg 3.06, 4 Cd 3.06, 4 Zr 3.09
Zr2 0.2500 0.7500 0.5000  4 Hg 3.06, 4 Cd 3.06, 4 Zr 3.09
Cd1 0.5000 0.5000 0.0000  8 Zr 3.06, 4 Hg 3.09

Properties
Excess energy over the best structure of this formula in the dataset in meV/atom: 0
Space-group type: I4/mmm
Spin magnetization in μB/f.u.: 0.0
ΔH_f (0 K) in eV per formula unit: -1.15



(11)
FeSiHg2 | meta-GGA SCAN | PBEsol geometry

Unit cell a=3.9758 b=3.9758 c=5.1182 alpha=112.85 beta=112.85 gamma=90.00
Last column: nearest neighbours and their distance in Å.
Atoms (fractional coordinates):
Fe1 0.2500 0.7500 0.5000  8 Hg 2.81-2.92, 4 Si 2.92
Hg1 0.0000 0.0000 0.0000  4 Si 2.81, 4 Hg 2.92, 4 Fe 2.92
Hg2 0.7500 0.2500 0.5000  4 Fe 2.81, 4 Hg 2.92, 4 Si 2.92
Si1 0.5000 0.5000 0.0000  8 Hg 2.81-2.92, 4 Fe 2.92

Properties
Space-group type: I-4m2
Spin magnetization in μB/f.u.: 2.6
Formation energy (no corrections) in eV/atom: 0.589



(12)
LaSmMg2 | meta-GGA SCAN | PBEsol geometry

Unit cell a=5.4475 b=5.4475 c=5.4475 alpha=60.00 beta=60.00 gamma=60.00
Last column: nearest neighbours and their distance in Å.
Atoms (fractional coordinates):
Mg1 0.2500 0.2500 0.2500  4 Sm 3.34, 4 La 3.34
Mg2 0.7500 0.7500 0.7500  4 La 3.34, 4 Sm 3.34
Sm1 0.0000 0.0000 0.0000  8 Mg 3.34
La1 0.5000 0.5000 0.5000  8 Mg 3.34

Properties
Space-group type: Fm-3m
Spin magnetization in μB/f.u.: 0.0
ΔH_f (0 K) in eV per formula unit: -0.48